The following is a PBEsol calculation of a geometry-optimized SrNbPd2Cl structure, from the Alexandria database.

Cell and atoms, written as POSCAR:
```
SrNbPd2Cl
1.0
4.675 0.000 0.000
0.000 4.675 0.000
0.000 0.000 6.653
Sr Nb Pd Cl
1 1 2 1
Cartesian
0.000 0.000 3.327
0.000 0.000 0.000
0.000 2.337 0.000
2.337 0.000 0.000
2.337 2.337 3.327
```

Calculated values
raw formation energy	0.434	eV/atom
DOS at the Fermi energy	0.948	states/eV per atom

---

The following is a PBEsol calculation of a geometry-optimized NbPtSCl2 structure, from the Alexandria database.

Cell and atoms, written as POSCAR:
```
NbPtSCl2
1.0
-3.793 -1.913 -1.926
2.714 -2.619 -2.744
0.045 -3.442 3.330
Nb S Pt Cl
1 1 1 2
Cartesian
-0.517 -3.987 -0.670
0.022 -1.721 1.665
0.000 0.000 0.000
1.357 -1.309 -1.372
-1.896 -0.956 -0.963
```

Calculated values
raw formation energy	0.555	eV/atom
DOS at the Fermi energy	1.101	states/eV per atom

---

The following is a PBEsol calculation of a geometry-optimized Rb2Nb3Cl9 structure, from the Alexandria database.

Cell and atoms, written as POSCAR:
```
Rb2Nb3Cl9
1.0
9.696 0.013 0.023
-2.304 9.631 -0.063
-2.304 -5.069 8.189
Rb Nb Cl
4 6 18
Cartesian
-0.062 6.802 0.403
5.148 7.773 2.132
5.148 -2.228 7.746
-0.062 -3.199 6.016
0.765 2.807 5.000
4.322 1.767 3.148
1.790 0.404 3.698
3.296 1.628 5.877
3.296 4.170 4.451
1.790 2.946 2.271
-1.420 3.453 6.151
6.507 1.121 1.998
4.297 3.738 6.659
0.790 0.836 1.490
3.751 2.471 0.857
1.336 5.130 5.593
1.336 2.103 7.292
3.751 -0.555 2.556
2.543 5.291 2.388
2.543 -0.717 5.761
5.504 3.897 3.429
-0.417 3.676 3.036
-0.417 0.677 4.720
5.504 0.898 5.112
0.829 -1.956 3.215
4.258 0.811 8.144
4.258 6.530 4.933
0.829 3.763 0.005
```

Calculated values
raw formation energy	-1.507	eV/atom

---

The following is a PBEsol calculation of a geometry-optimized RbNbSCl2 structure, from the Alexandria database.

Cell and atoms, written as POSCAR:
```
RbNbSCl2
1.0
-2.967 -0.497 -4.604
0.742 -5.448 0.110
-4.396 -0.540 2.891
Nb S Rb Cl
1 1 1 2
Cartesian
-3.311 -3.243 -0.801
-2.198 -0.270 1.446
0.000 0.000 0.000
0.371 -2.724 0.055
-1.484 -0.248 -2.302
```

Calculated values
raw formation energy	0.898	eV/atom
DOS at the Fermi energy	1.686	states/eV per atom

---

Total magnetic moment in μB/f.u., matching the order above: 0.71, 3.03, 0.00, 2.83
Total DFT energy (no corrections) in eV per cell, matching the order above: -24.4, -23.4, -147.4, -15.8